A relaxed structure of Nd4Tm3ThSe8. Source: the Alexandria database, functional GGA-PBE.

Cell lengths 8.2483, 8.2483, 20.6305 Å; angles 90.00, 90.00, 120.00 degrees
Space group R-3m (No. 166, hexagonal axes)
Symmetry-distinct sites (fractional):
Nd 0.0000 0.0000 0.0000 (multiplicity 3)
Nd 0.0000 0.5000 0.0000 (multiplicity 9)
Tm 0.0000 0.5000 0.5000 (multiplicity 9)
Th 0.0000 0.0000 0.5000 (multiplicity 3)
Se 0.0000 0.0000 0.2431 (multiplicity 6)
Se 0.0088 0.5044 0.7548 (multiplicity 18)

## Properties
Formation energy (no corrections) ... -1.73 eV/atom
Magnetic moment ... 0.00 μB per formula unit